This record from the Alexandria database describes an optimized crystal structure of AgBPt2Rh. The functional is PBE.

For the energy of formation from the pure elements, the calculation gives -0.3 eV per formula unit. Its total energy is -5.85 eV/atom.

It has space group P4/mmm (No. 123), with a = 4.205 Å, b = 4.205 Å, c = 4.156 Å, α = 90.00°, β = 90.00° and γ = 90.00°. Symmetry generates all atoms from Ag at (0.000, 0.000, 0.000), B at (0.500, 0.500, 0.500), Pt at (0.000, 0.500, 0.500) and Rh at (0.500, 0.500, 0.000).